BaCa2SnBi PBE-GGA optimized geometry; symmetry = P4/mmm; raw total energy = -2.9193 eV/atom
1.0
5.963 0.000 0.000
0.000 5.963 0.000
0.000 0.000 6.242
Ba Ca Sn Bi
1 2 1 1
Cartesian
0.000 0.000 0.000 Ba
0.000 2.982 3.121 Ca
2.982 0.000 3.121 Ca
2.982 2.982 0.000 Sn
2.982 2.982 3.121 Bi

***

Cs2LiH2 PBE-GGA optimized geometry; symmetry = I4/mmm; offset from the most stable computed form = 0.346 eV per atom; raw total energy = -1.8444 eV/atom
1.0
5.615 0.000 0.000
0.000 5.615 0.000
0.000 0.000 13.041
Cs Li H
4 2 4
Cartesian
0.000 0.000 2.215 Cs
0.000 0.000 10.826 Cs
2.807 2.807 4.305 Cs
2.807 2.807 8.735 Cs
0.000 0.000 6.520 Li
2.807 2.807 0.000 Li
0.000 2.807 3.260 H
0.000 2.807 9.781 H
2.807 0.000 3.260 H
2.807 0.000 9.781 H

***

V2Pd2PtRh PBE-GGA optimized geometry; symmetry = Pmc2_1; raw total energy = -7.3444 eV/atom
1.0
3.903 0.000 0.000
0.000 8.200 0.000
0.000 0.000 5.451
V Pd Pt Rh
4 4 2 2
Cartesian
0.000 1.258 0.000 V
0.000 6.942 2.726 V
1.951 2.727 3.955 V
1.951 5.474 1.230 V
0.000 4.004 5.309 Pd
0.000 4.196 2.584 Pd
1.951 2.704 1.225 Pd
1.951 5.496 3.951 Pd
0.000 1.390 2.730 Pt
0.000 6.810 0.004 Pt
1.951 0.144 4.128 Rh
1.951 8.056 1.403 Rh

***

NaPdCl PBE-GGA optimized geometry; symmetry = Cm; offset from the most stable computed form = 0.174 eV per atom; raw formation energy = -0.604 eV per atom; raw total energy = -3.3905 eV/atom
1.0
8.047 0.000 0.000
0.000 7.956 0.000
-3.157 0.000 4.309
Na Pd Cl
4 4 4
Cartesian
0.000 1.939 0.000 Na
0.000 6.018 0.000 Na
4.023 2.040 0.000 Na
4.023 5.917 0.000 Na
-1.496 0.000 2.476 Pd
-0.219 3.978 2.288 Pd
2.528 3.978 2.476 Pd
3.804 0.000 2.288 Pd
1.897 3.978 0.231 Cl
2.051 0.000 0.481 Cl
5.920 0.000 0.231 Cl
6.075 3.978 0.481 Cl